First-principles (PBE-GGA) data for a relaxed Ba2TlGa2 crystal, as listed in Alexandria.

Cell and atoms, written as POSCAR:
```
Ba2TlGa2
1.0
3.919 0.000 0.000
0.000 3.919 0.000
1.959 1.959 10.966
Ga Tl Ba
2 1 2
Direct
0.750 0.250 0.500
0.250 0.750 0.500
0.000 0.000 0.000
0.610 0.610 0.779
0.390 0.390 0.221
```

N(E_F) = 0.670 states/eV per atom
Crystal system = tetragonal
Formation energy from the elements = -1.1 eV/f.u.
Symmetry = I4/mmm, No. 139
Theoretical density = 6.10 g cm⁻³

First-principles (PBE-GGA) data for a relaxed BaIn2Hg9 crystal, as listed in Alexandria.

Cell and atoms, written as POSCAR:
```
BaIn2Hg9
1.0
7.486 0.000 3.446
3.743 8.985 1.723
-0.015 0.000 9.885
Hg In Ba
18 4 2
Direct
0.417 0.816 0.425
0.658 0.184 0.575
0.750 0.500 0.500
0.417 0.425 0.816
0.592 0.075 0.316
0.333 0.684 0.075
0.767 0.575 0.816
0.092 0.316 0.925
0.983 0.925 0.684
0.158 0.425 0.184
0.000 0.000 0.000
0.592 0.316 0.075
0.092 0.925 0.316
0.333 0.075 0.684
0.158 0.184 0.425
0.658 0.575 0.184
0.983 0.684 0.925
0.767 0.816 0.575
0.875 0.750 0.250
0.875 0.250 0.750
0.875 0.250 0.250
0.375 0.750 0.750
0.500 0.000 0.000
0.250 0.500 0.500
```

N(E_F) = 0.493 states/eV per atom
Crystal system = tetragonal
Formation energy from the elements = -1.7 eV/f.u.
Symmetry = I4_1/amd, No. 141
Theoretical density = 10.84 g cm⁻³

First-principles (PBE-GGA) data for a relaxed Sm4AlIn3 crystal, as listed in Alexandria.

Cell and atoms, written as POSCAR:
```
Sm4AlIn3
1.0
-1.766 3.199 2.840
-3.894 -0.442 -1.923
-2.823 -8.333 7.630
Al Sm In
1 4 3
Direct
0.500 0.500 0.077
0.000 0.000 0.137
0.500 0.000 0.640
0.500 0.500 0.355
0.000 0.500 0.866
0.000 0.500 0.584
0.500 0.000 0.924
0.000 0.000 0.416
```

N(E_F) = 1.127 states/eV per atom
Crystal system = orthorhombic
Formation energy from the elements = -3.3 eV/f.u.
Symmetry = Pmm2, No. 25
Theoretical density = 6.87 g cm⁻³

First-principles (PBE-GGA) data for a relaxed SiSnRhO2 crystal, as listed in Alexandria.

Cell and atoms, written as POSCAR:
```
SiSnRhO2
1.0
-1.956 -3.170 -0.567
4.018 -1.442 -5.804
2.440 -1.892 2.160
Sn Si O Rh
1 1 2 1
Direct
0.000 0.000 0.000
0.000 0.500 0.000
0.500 0.000 0.000
0.000 0.000 0.500
0.500 0.500 0.500
```

N(E_F) = 0.464 states/eV per atom
Crystal system = tetragonal
DFT total energy = -5.2908 eV per atom
Symmetry = P4/mmm, No. 123
Theoretical density = 4.57 g cm⁻³

First-principles (PBE-GGA) data for a relaxed Pm2FeH6Rh crystal, as listed in Alexandria.

Cell and atoms, written as POSCAR:
```
Pm2FeH6Rh
1.0
5.159 0.035 0.001
0.035 5.159 0.000
-2.595 -2.595 3.656
H Pm Fe Rh
6 2 1 1
Direct
0.767 0.767 0.000
0.233 0.233 0.000
0.237 0.763 0.000
0.234 0.235 0.469
0.763 0.237 0.000
0.765 0.766 0.531
0.750 0.250 0.500
0.250 0.750 0.500
0.000 0.000 0.000
0.500 0.500 0.000
```

N(E_F) = 0.310 states/eV per atom
Crystal system = orthorhombic
DFT total energy = -5.0096 eV per atom
Symmetry = Fmmm, No. 69
Theoretical density = 7.76 g cm⁻³

First-principles (PBE-GGA) data for a relaxed TlV3Si crystal, as listed in Alexandria.

Cell and atoms, written as POSCAR:
```
TlV3Si
1.0
-2.756 1.212 3.353
-3.533 -0.360 -2.774
-0.479 -4.326 1.170
V Tl Si
3 1 1
Direct
0.000 0.500 0.000
0.000 0.000 0.500
0.500 0.000 0.000
0.500 0.500 0.500
0.000 0.000 0.000
```

N(E_F) = 1.160 states/eV per atom
Crystal system = cubic
DFT total energy = -6.4154 eV per atom
Symmetry = Pm-3m, No. 221
Theoretical density = 6.99 g cm⁻³

First-principles (PBE-GGA) data for a relaxed Ta2SO crystal, as listed in Alexandria.

Cell and atoms, written as POSCAR:
```
Ta2SO
1.0
4.472 0.000 0.000
0.000 4.472 0.000
2.236 2.236 6.495
S Ta O
2 4 2
Direct
0.000 0.000 0.000
0.750 0.250 0.500
0.875 0.810 0.750
0.375 0.440 0.750
0.560 0.125 0.250
0.190 0.625 0.250
0.250 0.750 0.500
0.500 0.500 0.000
```

N(E_F) = 0.741 states/eV per atom
Crystal system = tetragonal
DFT total energy = -8.9567 eV per atom
Symmetry = I-42d, No. 122
Theoretical density = 10.48 g cm⁻³

First-principles (PBE-GGA) data for a relaxed DyTmRuRh crystal, as listed in Alexandria.

Cell and atoms, written as POSCAR:
```
DyTmRuRh
1.0
3.383 0.000 0.000
0.000 4.788 0.000
0.000 0.000 4.796
Tm Rh Dy Ru
1 1 1 1
Direct
0.500 0.000 0.500
0.000 0.500 0.500
0.500 0.500 0.000
0.000 0.000 0.000
```

N(E_F) = 0.313 states/eV per atom
Crystal system = orthorhombic
Formation energy from the elements = -2.7 eV/f.u.
Symmetry = Pmmm, No. 47
Theoretical density = 11.45 g cm⁻³

First-principles (PBE-GGA) data for a relaxed Ta2AgAu crystal, as listed in Alexandria.

Cell and atoms, written as POSCAR:
```
Ta2AgAu
1.0
9.972 -0.007 -0.004
9.550 2.868 -0.004
9.550 1.400 2.504
Ag Ta Au
1 2 1
Direct
0.250 0.250 0.250
0.499 0.499 0.499
0.001 0.001 0.001
0.750 0.750 0.750
```

N(E_F) = 1.064 states/eV per atom
Crystal system = trigonal
Formation energy from the elements = 0.9 eV/f.u.
Symmetry = R-3m, No. 166
Theoretical density = 15.40 g cm⁻³

First-principles (PBE-GGA) data for a relaxed Pr3Nd13 crystal, as listed in Alexandria.

Cell and atoms, written as POSCAR:
```
Pr3Nd13
1.0
-4.264 -0.750 -5.963
-2.896 -6.151 2.844
-7.462 5.651 4.625
Nd Pr
13 3
Direct
0.500 0.000 0.750
0.750 0.250 0.500
0.251 0.251 0.500
0.750 0.750 0.000
0.251 0.749 0.000
0.500 0.500 0.750
0.500 0.500 0.250
0.500 0.000 0.250
0.749 0.749 0.500
0.000 0.500 0.250
0.250 0.750 0.500
0.000 0.500 0.750
0.250 0.250 0.000
0.749 0.251 0.000
0.000 0.000 0.750
0.000 0.000 0.250
```

N(E_F) = 1.702 states/eV per atom
Crystal system = orthorhombic
Formation energy from the elements = 0.2 eV/f.u.
Symmetry = Amm2, No. 38
Theoretical density = 6.73 g cm⁻³

First-principles (PBE-GGA) data for a relaxed NaTcNiSe3 crystal, as listed in Alexandria.

Cell and atoms, written as POSCAR:
```
NaTcNiSe3
1.0
3.643 0.000 0.000
0.000 7.777 -0.080
0.000 -3.092 8.687
Se Tc Ni Na
6 2 2 2
Direct
0.750 0.448 0.128
0.250 0.758 0.457
0.750 0.242 0.543
0.750 0.907 0.139
0.250 0.093 0.861
0.250 0.552 0.872
0.750 0.302 0.823
0.250 0.698 0.177
0.250 0.084 0.608
0.750 0.916 0.392
0.750 0.755 0.729
0.250 0.245 0.271
```

N(E_F) = 0.643 states/eV per atom
Crystal system = monoclinic
DFT total energy = -5.1328 eV per atom
Symmetry = P2_1/m, No. 11
Theoretical density = 5.64 g cm⁻³

First-principles (PBE-GGA) data for a relaxed MgRe3 crystal, as listed in Alexandria.

Cell and atoms, written as POSCAR:
```
MgRe3
1.0
-3.000 -3.743 -2.701
5.464 0.139 -0.652
0.999 -5.928 7.107
Re Mg
12 4
Direct
0.836 0.672 0.250
0.500 0.500 0.500
0.500 0.000 0.000
0.672 0.836 0.750
0.500 0.500 0.000
0.836 0.164 0.250
0.000 0.500 0.500
0.500 0.000 0.500
0.164 0.328 0.750
0.000 0.500 0.000
0.164 0.836 0.750
0.328 0.164 0.250
0.667 0.333 0.750
0.333 0.667 0.250
0.000 0.000 0.000
0.000 0.000 0.500
```

N(E_F) = 0.718 states/eV per atom
Crystal system = hexagonal
Formation energy from the elements = 1.7 eV/f.u.
Symmetry = P6_3/mmc, No. 194
Theoretical density = 15.85 g cm⁻³